No. 1
First-principles (PBE) data for an optimized crystal structure of Nb2CuNiI, as listed in Alexandria via LeMat-Bulk.

a b c (Å): 4.6464 4.6464 5.0643
angles (deg): 90.00 90.00 90.00
Fractional coordinates of all 5 atoms:
1 Nb 0.0000 0.5000 0.0000
2 Nb 0.5000 0.0000 0.0000
3 Cu 0.0000 0.0000 0.5000
4 Ni 0.5000 0.5000 0.0000
5 I 0.5000 0.5000 0.5000

## Properties
E_form (uncorrected), kJ/mol of formula units: 611

---

No. 2
First-principles (PBE) data for an optimized crystal structure of NbCuIO2, as listed in Alexandria via LeMat-Bulk.

a b c (Å): 4.0153 4.0153 4.9495
angles (deg): 90.00 90.00 90.00
Fractional coordinates of all 5 atoms:
1 Nb 0.0000 0.0000 0.0000
2 Cu 0.5000 0.5000 0.5000
3 I 0.5000 0.5000 0.0000
4 O 0.0000 0.5000 0.5000
5 O 0.5000 0.0000 0.5000

## Properties
Excess energy over the best structure of this formula in the dataset, meV/atom: 1510
E_form (uncorrected), kJ/mol of formula units: 215

---

No. 3
First-principles (PBE) data for an optimized crystal structure of NbCuIO6, as listed in Alexandria via LeMat-Bulk.

a b c (Å): 5.3624 5.3624 9.0456
angles (deg): 90.00 90.00 120.00
Fractional coordinates of all 18 atoms:
1 Nb 0.3333 0.6667 0.2500
2 Nb 0.6667 0.3333 0.7500
3 Cu 0.0000 0.0000 0.0000
4 Cu 0.0000 0.0000 0.5000
5 I 0.3333 0.6667 0.7500
6 I 0.6667 0.3333 0.2500
7 O 0.0071 0.3510 0.1304
8 O 0.0071 0.6560 0.3696
9 O 0.3440 0.3510 0.3696
10 O 0.3440 0.9929 0.1304
11 O 0.3510 0.0071 0.6304
12 O 0.3510 0.3440 0.8696
13 O 0.6490 0.6560 0.1304
14 O 0.6490 0.9929 0.3696
15 O 0.6560 0.0071 0.8696
16 O 0.6560 0.6490 0.6304
17 O 0.9929 0.3440 0.6304
18 O 0.9929 0.6490 0.8696

## Properties
E_form (uncorrected), kJ/mol of formula units: -868

---

No. 4
First-principles (PBE) data for an optimized crystal structure of Nb2CuIO, as listed in Alexandria via LeMat-Bulk.

a b c (Å): 4.1464 4.1464 5.2079
angles (deg): 90.00 90.00 90.00
Fractional coordinates of all 5 atoms:
1 Nb 0.0000 0.5000 0.0000
2 Nb 0.5000 0.0000 0.0000
3 Cu 0.0000 0.0000 0.5000
4 I 0.5000 0.5000 0.5000
5 O 0.0000 0.0000 0.0000

## Properties
E_form (uncorrected), kJ/mol of formula units: 43

---

Which of these has the highest E_form (uncorrected)?
Nb2CuNiI

---

Please write out number 4 again, unchanged.
First-principles (PBE) data for an optimized crystal structure of Nb2CuIO, as listed in Alexandria via LeMat-Bulk.

a b c (Å): 4.1464 4.1464 5.2079
angles (deg): 90.00 90.00 90.00
Fractional coordinates of all 5 atoms:
1 Nb 0.0000 0.5000 0.0000
2 Nb 0.5000 0.0000 0.0000
3 Cu 0.0000 0.0000 0.5000
4 I 0.5000 0.5000 0.5000
5 O 0.0000 0.0000 0.0000

## Properties
E_form (uncorrected), kJ/mol of formula units: 43